No. 1
This record from Alexandria describes a relaxed structure of VPb3Se. The functional is PBE.

Summary:
The calculation puts the offset from the most stable computed form at 466 meV/atom. The density of states at the Fermi level is 9.415 states/eV/f.u. The calculation puts the magnetic moment at 3.94 μB/cell. The uncorrected formation energy is 0.818 eV per atom. The symmetry is Pm-3m.

Cell lengths 5.6568, 5.6568, 5.6568 Å; angles 90.00, 90.00, 90.00 degrees
Atoms (fractional coordinates):
V (0.0000, 0.0000, 0.0000)
Pb (0.0000, 0.5000, 0.5000)
Pb (0.5000, 0.0000, 0.5000)
Pb (0.5000, 0.5000, 0.0000)
Se (0.5000, 0.5000, 0.5000)


No. 2
This record from Alexandria describes a relaxed structure of Pr3Er3Th2. The functional is PBE.

Summary:
The calculation puts the offset from the most stable computed form at 0 meV/atom. The density of states at the Fermi level is 9.552 states/eV/f.u. The calculation puts the magnetic moment at 0.00 μB/cell. As for the formation enthalpy at 0 K: 0.036 eV per atom. The symmetry is Immm.

Cell lengths 10.8932, 10.8932, 10.8932 Å; angles 153.15, 152.93, 38.50 degrees
Atoms (fractional coordinates):
Pr (0.0000, 0.0000, 0.0000)
Pr (0.3717, 0.8717, 0.5000)
Pr (0.6283, 0.1283, 0.5000)
Er (0.1282, 0.6282, 0.5000)
Er (0.5000, 0.5000, 0.0000)
Er (0.8718, 0.3718, 0.5000)
Th (0.2495, 0.2495, 0.0000)
Th (0.7505, 0.7505, 0.0000)